DFT (PBE-GGA) results for an optimized crystal structure of Rb2ZnGe.

It has space group Fm-3m (No. 225), with a = 8.639 Å, b = 8.639 Å, c = 8.639 Å, α = 90.00°, β = 90.00° and γ = 90.00°. The inequivalent atoms are Rb at (0.250, 0.250, 0.250), Zn at (0.000, 0.000, 0.000) and Ge at (0.000, 0.000, 0.500).

The energy of formation from the pure elements comes out at 1.3 eV/f.u. The total energy comes out at -1.63 eV/atom. The calculated volume comes out at 40.3 A^3/atom.

DFT (PBE-GGA) results for an optimized crystal structure of Rb2ZnGe.

It has space group I-42d (No. 122), with a = 9.837 Å, b = 9.837 Å, c = 6.493 Å, α = 90.00°, β = 90.00° and γ = 90.00°. The inequivalent atoms are Rb at (0.248, 0.250, 0.125), Zn at (0.000, 0.000, 0.500) and Ge at (0.000, 0.000, 0.000).

The energy of formation from the pure elements comes out at 1.7 eV/f.u. The total energy comes out at -1.54 eV/atom. The calculated volume comes out at 39.3 A^3/atom.

DFT (PBE-GGA) results for an optimized crystal structure of RbZn3Ge2.

It has space group C2/m (No. 12), with a = 18.949 Å, b = 4.400 Å, c = 7.160 Å, α = 90.00°, β = 94.51° and γ = 90.00°. The inequivalent atoms are Rb at (0.085, 0.000, 0.181), Zn at (0.110, 0.000, 0.671), Zn at (0.177, 0.500, 0.548), Zn at (0.229, 0.500, 0.908), Ge at (0.047, 0.500, 0.640) and Ge at (0.250, 0.000, 0.731).

The energy of formation from the pure elements comes out at -0.1 eV/f.u. The total energy comes out at -2.35 eV/atom. The calculated volume comes out at 24.8 A^3/atom.

DFT (PBE-GGA) results for an optimized crystal structure of RbZnGe.

It has space group P-1 (No. 2), with a = 4.554 Å, b = 6.967 Å, c = 7.004 Å, α = 105.73°, β = 106.92° and γ = 98.88°. The inequivalent atoms are Rb at (0.220, 0.200, 0.330), Zn at (0.463, 0.694, 0.083) and Ge at (0.001, 0.365, 0.809).

The energy of formation from the pure elements comes out at -0.1 eV/f.u. The total energy comes out at -2.33 eV/atom. Its energy above the lowest structure with this stoichiometry is 0 meV per atom. The calculated volume comes out at 33.0 A^3/atom.